DFT (GGA-PBE) results for a relaxed TbPrYSc crystal.

- Polymorph energy (0 for the lowest one): 0 meV/atom
- Symmetry: No. 8
- Total magnetization: 0.00 μB per formula unit
- Energy of formation: 0.11 eV per atom

Cell: 3.814 5.663 6.740 Å, 114.84 73.54 90.00°
Atoms (fractional coordinates):
Tb (0.194, 0.869, 0.739)
Y (0.424, 0.137, 0.274)
Pr (0.649, 0.415, 0.829)
Sc (0.919, 0.644, 0.287)

DFT (GGA-PBE) results for a relaxed Tb3Pr2Y6Sc crystal.

- Symmetry: No. 12
- Total magnetization: 0.00 μB per formula unit
- Energy of formation: 0.03 eV per atom

Cell: 6.173 6.173 11.829 Å, 94.97 94.97 119.99°
Atoms (fractional coordinates):
Y (0.413, 0.083, 0.250)
Y (0.247, 0.247, 0.749)
Pr (0.334, 0.666, 0.000)
Y (0.587, 0.917, 0.750)
Y (0.753, 0.753, 0.251)
Tb (0.166, 0.834, 0.500)
Y (0.917, 0.587, 0.750)
Tb (0.834, 0.166, 0.500)
Pr (0.666, 0.334, 0.000)
Sc (0.000, 0.000, 0.000)
Tb (0.500, 0.500, 0.500)
Y (0.083, 0.413, 0.250)

DFT (GGA-PBE) results for a relaxed Tb2PrY6Sc crystal.

- Symmetry: No. 15
- Total magnetization: 0.00 μB per formula unit
- Energy of formation: 0.12 eV per atom

Cell: 8.755 9.177 9.177 Å, 119.02 90.90 90.90°
Atoms (fractional coordinates):
Tb (0.558, 0.211, 0.323)
Y (0.052, 0.135, 0.791)
Y (0.293, 0.047, 0.460)
Y (0.207, 0.540, 0.953)
Y (0.448, 0.209, 0.865)
Y (0.707, 0.953, 0.540)
Pr (0.750, 0.032, 0.968)
Tb (0.442, 0.789, 0.677)
Y (0.409, 0.523, 0.265)
Y (0.948, 0.865, 0.209)
Y (0.909, 0.265, 0.523)
Y (0.793, 0.460, 0.047)
Tb (0.942, 0.677, 0.789)
Tb (0.058, 0.323, 0.211)
Y (0.552, 0.791, 0.135)
Sc (0.750, 0.556, 0.444)
Pr (0.250, 0.968, 0.032)
Y (0.091, 0.735, 0.477)
Y (0.591, 0.477, 0.735)
Sc (0.250, 0.444, 0.556)

DFT (GGA-PBE) results for a relaxed TbPr2Y2Sc crystal.

- Symmetry: No. 26
- Total magnetization: 0.00 μB per formula unit
- Energy of formation: 0.04 eV per atom

Cell: 5.693 6.297 10.871 Å, 90.00 90.00 90.00°
Atoms (fractional coordinates):
Y (0.000, 0.345, 0.909)
Pr (0.500, 0.177, 0.081)
Y (0.500, 0.661, 0.577)
Pr (0.500, 0.677, 0.919)
Y (0.000, 0.845, 0.091)
Pr (0.000, 0.345, 0.259)
Pr (0.000, 0.845, 0.741)
Sc (0.000, 0.837, 0.420)
Tb (0.500, 0.180, 0.743)
Sc (0.000, 0.337, 0.580)
Y (0.500, 0.161, 0.423)
Tb (0.500, 0.680, 0.257)

DFT (GGA-PBE) results for a relaxed Tb2PrY2Sc crystal.

- Symmetry: No. 51
- Total magnetization: 0.00 μB per formula unit
- Energy of formation: 0.08 eV per atom

Cell: 5.601 6.956 9.667 Å, 90.00 90.00 90.00°
Atoms (fractional coordinates):
Y (0.500, 0.507, 0.000)
Tb (0.500, 0.258, 0.335)
Tb (0.500, 0.758, 0.665)
Pr (0.000, 0.008, 0.500)
Y (0.000, 0.757, 0.838)
Tb (0.000, 0.757, 0.171)
Pr (0.000, 0.508, 0.500)
Sc (0.500, 0.758, 0.330)
Tb (0.000, 0.257, 0.829)
Y (0.500, 0.007, 0.000)
Sc (0.500, 0.258, 0.670)
Y (0.000, 0.257, 0.162)

DFT (GGA-PBE) results for a relaxed Tb2PrY6Sc3 crystal.

- Symmetry: No. 12
- Total magnetization: 0.00 μB per formula unit
- Energy of formation: 0.05 eV per atom

Cell: 6.095 6.095 11.557 Å, 95.04 95.04 119.99°
Atoms (fractional coordinates):
Sc (0.500, 0.500, 0.500)
Y (0.753, 0.753, 0.261)
Tb (0.667, 0.333, 0.000)
Y (0.421, 0.087, 0.261)
Sc (0.833, 0.167, 0.500)
Y (0.579, 0.913, 0.739)
Sc (0.167, 0.833, 0.500)
Y (0.087, 0.421, 0.261)
Pr (0.000, 0.000, 0.000)
Y (0.247, 0.247, 0.739)
Y (0.913, 0.579, 0.739)
Tb (0.333, 0.667, 0.000)